## CsLiSb2 (PBE)

Data for a relaxed structure of CsLiSb2.

Values from the calculation:
magnetization	0.0	μB per cell
excess energy over the best structure of this formula in the dataset	393	meV per atom
V	33.237	Å³ per atom
calculated total energy	-10.5	eV per formula unit

Cell lengths 8.1018, 8.1018, 8.1018 Å; angles 90.00, 90.00, 90.00 degrees
Last column: nearest neighbours and their distance in Å.
Space group Fm-3m (No. 225)
Unique sites:
Cs 0.0000 0.0000 0.0000 x4  8 Sb 3.51
Li 0.0000 0.0000 0.5000 x4  8 Sb 3.51
Sb 0.2500 0.2500 0.2500 x8  4 Li 3.51, 4 Cs 3.51